1.
SrTcHg4: optimized geometry, PBE-GGA.

```
6
Lattice="0.000 4.178 4.178 4.178 0.000 4.178 4.178 4.178 0.000" Properties=species:S:1:pos:R:3 pbc="T T T"
Sr 0.000 0.000 0.000
Tc 6.267 6.267 6.267
Hg 3.141 3.141 3.141
Hg 5.216 5.216 3.141
Hg 5.216 3.141 5.216
Hg 3.141 5.216 5.216
```

Calculated density ... 11.25 g/cm3
Volume ... 24.31 Å³ per atom
Spin magnetization ... 2.8 μB per cell
Energy relative to the elements ... 33.7 kJ/mol of atoms

=====

2.
BaAgHg2Pb: optimized geometry, PBE-GGA.

```
5
Lattice="-2.421 2.461 6.269 2.421 -2.461 6.269 2.421 2.461 -6.269" Properties=species:S:1:pos:R:3 pbc="T T T"
Ba 0.000 0.000 0.000
Ag 0.000 0.000 4.820
Hg 0.000 0.000 7.596
Hg 0.000 2.461 3.247
Pb 2.421 0.000 3.193
```

Calculated density ... 9.49 g/cm3
Offset from the most stable computed form ... 0.0 meV/atom
Volume ... 29.89 Å³ per atom
Spin magnetization ... 0.0 μB per cell
Energy relative to the elements ... -28.1 kJ/mol of atoms

=====

3.
KAg4Se3: optimized geometry, PBE-GGA.

```
8
Lattice="4.376 0.000 0.000 0.000 4.376 0.000 0.000 0.000 10.199" Properties=species:S:1:pos:R:3 pbc="T T T"
K 0.000 0.000 0.000
Ag 0.000 2.188 3.318
Ag 0.000 2.188 6.881
Ag 2.188 0.000 3.318
Ag 2.188 0.000 6.881
Se 0.000 0.000 5.100
Se 2.188 2.188 1.765
Se 2.188 2.188 8.434
```

Calculated density ... 6.01 g/cm3
Volume ... 24.42 Å³ per atom
Formation energy (no corrections) ... -307 meV/atom
Spin magnetization ... 0.0 μB per cell

=====

4.
RbCaIn2I6: optimized geometry, PBE-GGA.

```
10
Lattice="4.133 2.386 7.856 -4.133 2.386 7.856 0.000 -4.772 7.856" Properties=species:S:1:pos:R:3 pbc="T T T"
Rb 0.000 0.000 0.000
Ca 0.000 0.000 11.378
In 0.000 0.000 6.968
In 0.000 0.000 19.027
I -1.605 -1.870 9.359
I -2.734 -0.125 13.006
I -0.817 2.325 9.359
I 1.475 -2.306 13.006
I 2.422 -0.455 9.359
I 1.259 2.430 13.006
```

Calculated density ... 3.99 g/cm3
Volume ... 46.50 Å³ per atom
Formation energy (no corrections) ... -979 meV/atom
Spin magnetization ... 0.0 μB per cell